Pr3Nd2Tl2, optimized geometry, DFT GGA-PBE; volume = 33.21 Å³ per atom; crystal system = monoclinic; energy of formation from the pure elements = -0.20 eV per atom; Fermi-level density of states = 7.8 states/eV/cell; space group = No. 12
1.0
3.907 -0.004 0.002
-1.947 6.696 -0.249
-0.005 -1.003 8.928
Pr Nd Tl
3 2 2
Direct
0.000 0.000 0.000
0.743 0.485 0.165
0.257 0.515 0.835
0.869 0.738 0.556
0.131 0.262 0.444
0.556 0.112 0.727
0.444 0.888 0.273